# 1
VASP calculation (PBE) on a relaxed structure of BaCeF2.

a b c (Å): 4.2017 4.2017 7.3158
angles (deg): 73.31 73.31 60.00
Fractional positions:
Ce  0.5000  0.5000  0.5000
F  0.1370  0.1370  0.5889
F  0.8630  0.8630  0.4111
Ba  0.0000  0.0000  0.0000

Spin magnetization (μB per cell): 1.65
Uncorrected formation energy (meV per atom): -2547
Electronic total energy (eV/cell): -21.79

---

# 2
VASP calculation (PBE) on a relaxed structure of Ba4CeF10.

a b c (Å): 6.2009 7.6014 7.6014
angles (deg): 80.42 65.93 65.93
Fractional positions:
Ba  0.8004  0.5968  0.8023
F  0.8545  0.7206  0.0943
F  0.7500  0.5000  0.5000
Ba  0.3972  0.8023  0.4032
F  0.5751  0.0943  0.2794
F  0.1455  0.2794  0.9057
Ba  0.6028  0.1977  0.5968
Ba  0.1996  0.4032  0.1977
F  0.4249  0.9057  0.7206
F  0.3306  0.7206  0.0943
F  0.0512  0.0943  0.2794
F  0.2500  0.5000  0.5000
Ce  0.0000  0.0000  0.0000
F  0.6694  0.2794  0.9057
F  0.9488  0.9057  0.7206

Spin magnetization (μB per cell): 1.88
Uncorrected formation energy (meV per atom): -3756
Electronic total energy (eV/cell): -88.68

---

# 3
VASP calculation (PBE) on a relaxed structure of BaCe2F7.

a b c (Å): 4.4036 6.9694 6.9694
angles (deg): 115.05 90.00 90.00
Fractional positions:
F  0.5000  0.5000  0.5000
Ce  0.5000  0.6915  0.3085
F  0.5000  0.0526  0.3204
F  0.0000  0.7645  0.2355
F  0.5000  0.9474  0.6796
Ba  0.0000  0.0000  0.0000
F  0.5000  0.6796  0.9474
F  0.0000  0.2355  0.7645
F  0.5000  0.3204  0.0526
Ce  0.5000  0.3085  0.6915

Spin magnetization (μB per cell): 2.61
Uncorrected formation energy (meV per atom): -3714
Electronic total energy (eV/cell): -64.03

---

# 4
VASP calculation (PBE) on a relaxed structure of BaCeIn2F8.

a b c (Å): 4.1436 6.4786 8.4530
angles (deg): 90.00 90.00 90.00
Fractional positions:
F  0.0000  0.2082  0.2145
In  0.5000  0.4999  0.7451
F  0.5001  0.2566  0.5000
F  0.5000  0.8087  0.0000
In  0.5000  0.5001  0.2549
Ce  0.0000  0.0000  0.0000
F  0.4999  0.7434  0.5000
F  0.0000  0.7918  0.7855
F  0.0000  0.2082  0.7855
Ba  0.0000  0.0000  0.5000
F  0.0000  0.7918  0.2145
F  0.5000  0.1913  0.0000

Spin magnetization (μB per cell): 0.16
Uncorrected formation energy (meV per atom): -3087
Electronic total energy (eV/cell): -65.34

---

# 5
VASP calculation (PBE) on a relaxed structure of KBa2CeF8.

a b c (Å): 6.0897 6.0897 7.4986
angles (deg): 113.96 113.96 90.00
Fractional positions:
F  0.9069  0.3987  0.2706
F  0.9069  0.8719  0.2706
F  0.1281  0.0931  0.7294
F  0.1281  0.6363  0.7294
F  0.3637  0.8719  0.2706
Ba  0.0000  0.0000  0.0000
F  0.6013  0.0931  0.7294
K  0.5000  0.5000  0.0000
Ba  0.7500  0.2500  0.5000
F  0.6013  0.6363  0.7294
Ce  0.2500  0.7500  0.5000
F  0.3637  0.3987  0.2706

Spin magnetization (μB per cell): 1.00
Uncorrected formation energy (meV per atom): -3747
Electronic total energy (eV/cell): -70.82

---

# 6
VASP calculation (PBE) on a relaxed structure of BaLiCeF6.

a b c (Å): 5.7909 5.7909 11.3546
angles (deg): 90.00 90.00 120.00
Fractional positions:
F  0.0229  0.6518  0.3565
F  0.6289  0.6518  0.1435
F  0.3711  0.0229  0.6435
F  0.9771  0.6289  0.8565
F  0.3482  0.9771  0.1435
F  0.6518  0.0229  0.8565
Li  0.6667  0.3333  0.7500
F  0.3711  0.3482  0.8565
F  0.3482  0.3711  0.3565
F  0.9771  0.3482  0.6435
F  0.6289  0.9771  0.3565
Ce  0.3333  0.6667  0.7500
Ce  0.6667  0.3333  0.2500
F  0.6518  0.6289  0.6435
Ba  0.0000  0.0000  0.5000
F  0.0229  0.3711  0.1435
Li  0.3333  0.6667  0.2500
Ba  0.0000  0.0000  0.0000

Spin magnetization (μB per cell): 2.00
Uncorrected formation energy (meV per atom): -3652
Electronic total energy (eV/cell): -107.72

---

# 7
VASP calculation (PBE) on a relaxed structure of Ba2CeMg3F12.

a b c (Å): 7.1169 7.1169 7.1169
angles (deg): 63.32 63.32 63.32
Fractional positions:
F  0.7301  0.1128  0.7301
F  0.4185  0.8633  0.8633
F  0.2699  0.2699  0.8872
F  0.2699  0.8872  0.2699
F  0.8633  0.4185  0.8633
Ba  0.3870  0.3870  0.3870
F  0.7301  0.7301  0.1128
F  0.5815  0.1367  0.1367
Ce  0.0000  0.0000  0.0000
Ba  0.6130  0.6130  0.6130
F  0.8633  0.8633  0.4185
F  0.1128  0.7301  0.7301
F  0.8872  0.2699  0.2699
F  0.1367  0.1367  0.5815
F  0.1367  0.5815  0.1367
Mg  0.0000  0.5000  0.0000
Mg  0.0000  0.0000  0.5000
Mg  0.5000  0.0000  0.0000

Spin magnetization (μB per cell): 1.95
Uncorrected formation energy (meV per atom): -3548
Electronic total energy (eV/cell): -100.89

---

# 8
VASP calculation (PBE) on a relaxed structure of Ba2CeN2F2.

a b c (Å): 4.5854 4.5854 7.6745
angles (deg): 107.38 107.38 90.00
Fractional positions:
N  0.0000  0.5000  0.0000
Ce  0.0000  0.0000  0.0000
Ba  0.6278  0.6278  0.2555
F  0.1797  0.1797  0.3594
N  0.5000  0.0000  0.0000
F  0.8203  0.8203  0.6406
Ba  0.3722  0.3722  0.7445

Spin magnetization (μB per cell): 0.00
Uncorrected formation energy (meV per atom): -2183
Electronic total energy (eV/cell): -45.45